(1)
Compound: CsTiAlO4
Source: the Alexandria database
Functional: PBE
Structure: relaxed

Cell: 7.419 7.419 7.419 Å, 133.94 103.51 94.15°
Positions (direct):
Al1 0.645 0.330 0.315
Cs1 0.449 0.949 0.500
O1 0.770 0.501 0.269
O2 0.024 0.009 0.522
O3 0.487 0.009 0.985
O4 0.660 0.660 0.000
O5 0.487 0.502 0.478
Al2 0.016 0.330 0.685
O6 0.024 0.502 0.015
O7 0.232 0.501 0.731
O8 0.808 0.308 0.500
Ti1 0.468 0.668 0.799
Ti2 0.869 0.668 0.201
Cs2 0.062 0.062 0.000

Results
V	269.4	Å³/cell
density of states at the Fermi level	0.00	states/eV/f.u.
crystal system	orthorhombic
theoretical density	3.350	g cm⁻³
total moment	0.006	μB per atom
formation energy from raw total energies	-2830	meV per atom
energy above the lowest structure with this stoichiometry	0.000	eV per atom

=====

(2)
Compound: Sr2TlCr
Source: the Alexandria database
Functional: PBE
Structure: relaxed

Cell: 3.931 3.931 8.963 Å, 90.00 90.00 90.00°
Last column: magnetic moment on the atom in μB.
Positions (direct):
Sr1 0.500 0.500 0.315  -0.01
Tl1 0.000 0.000 0.556  -0.05
Cr1 0.500 0.500 0.692  3.88
Sr2 0.000 0.000 0.937  0.02

Results
V	138.5	Å³/cell
density of states at the Fermi level	2.11	states/eV/f.u.
crystal system	tetragonal
theoretical density	5.175	g cm⁻³
total moment	1.093	μB per atom
formation enthalpy at 0 K	0.22	eV/atom